A | Below is Sn2TePb after structural relaxation, with properties calculated at the PBE level.

Calculated values
Its theoretical density is 5569 kg/m³. For the magnetic moment, the calculation gives 0.0 μB per formula unit. The space group is I-42d, No. 122.

a b c (Å): 8.985 8.985 8.985
angles (deg): 136.34 136.34 63.46
Positions (direct):
Sn 0.123 0.625 0.998
Sn 0.375 0.373 0.498
Sn 0.627 0.125 0.002
Sn 0.875 0.877 0.502
Te 0.250 0.750 0.500
Te 0.500 0.500 0.000
Pb 0.000 0.000 0.000
Pb 0.750 0.250 0.500

***

B | Below is Sn2TePb after structural relaxation, with properties calculated at the PBE level.

Calculated values
Its theoretical density is 7517 kg/m³. For the magnetic moment, the calculation gives 0.0 μB per formula unit. The space group is R-3m, No. 166.

a b c (Å): 8.413 8.413 8.413
angles (deg): 29.32 29.32 29.32
Positions (direct):
Sn 0.248 0.248 0.248
Sn 0.752 0.752 0.752
Te 0.500 0.500 0.500
Pb 0.000 0.000 0.000

***

It is B that is most stable; the runner-up trails by 163 meV/atom.